# 1
LiBeHg: relaxed, PBE.

- Excess energy over the best structure of this formula in the dataset: 0.000 eV/atom
- Size of the total moment: 0.0 μB/f.u.
- DOS(E_F): 0.423 states/eV per atom
- Crystal system: hexagonal

a = 4.2721 Å, b = 4.2721 Å, c = 2.9814 Å
α = 90.00°, β = 90.00°, γ = 120.00°
Last column: nearest neighbours and their distance in Å.
Space group P-6m2 (No. 187)
One atom of each set of equivalent atoms:
Li 0.0000 0.0000 0.0000  6 Be 2.88, 6 Hg 2.88, 2 Li 2.98
Be 0.3333 0.6667 0.5000  3 Hg 2.47
Hg 0.6667 0.3333 0.5000  3 Be 2.47


# 2
Li2BeHg: relaxed, PBE.

- Excess energy over the best structure of this formula in the dataset: 0.000 eV/atom
- Size of the total moment: 0.0 μB/f.u.
- DOS(E_F): 0.379 states/eV per atom
- Crystal system: tetragonal

a = 4.3796 Å, b = 4.3796 Å, c = 5.9527 Å
α = 90.00°, β = 90.00°, γ = 90.00°
Last column: nearest neighbours and their distance in Å.
Space group I-4m2 (No. 119)
One atom of each set of equivalent atoms:
Li 0.0000 0.0000 0.0000  4 Li 2.65, 4 Be 2.65
Li 0.0000 0.5000 0.2500  4 Hg 2.65, 4 Li 2.65
Be 0.0000 0.5000 0.7500  4 Hg 2.65, 4 Li 2.65
Hg 0.0000 0.0000 0.5000  4 Li 2.65, 4 Be 2.65


Question: Which value of DOS(E_F) does entry 1 give?
Answer: 0.423 states/eV per atom


Question: Which value of DOS(E_F) does entry 1 give?
Answer: 0.423 states/eV per atom